1.
# PBE-GGA TmPuPa2C4, optimized geometry
data_TmPuPa2C4
_chemical_formula_sum 'Tm1 Pu1 Pa2 C4'
_cell_length_a 6.133
_cell_length_b 3.610
_cell_length_c 6.238
_cell_angle_alpha 90.00
_cell_angle_beta 109.97
_cell_angle_gamma 90.00
_space_group_name_H-M_alt 'P 1 2/m 1'
_space_group_IT_number 10
_space_group_name_Hall '-P 2y'
loop_
_atom_site_label
_atom_site_type_symbol
_atom_site_fract_x
_atom_site_fract_y
_atom_site_fract_z
Tm1 Tm 0.000 0.000 0.000
Pu1 Pu 0.000 0.500 0.500
Pa1 Pa 0.500 0.000 0.500
Pa2 Pa 0.500 0.500 0.000
C1 C 0.262 0.000 0.754
C2 C 0.264 0.500 0.259
# Energy of formation   -0.301 eV per atom
# Crystal system   monoclinic

---

2.
# PBE-GGA BaN3F, optimized geometry
data_BaN3F
_chemical_formula_sum 'Ba1 N3 F1'
_cell_length_a 4.107
_cell_length_b 4.107
_cell_length_c 4.107
_cell_angle_alpha 90.00
_cell_angle_beta 90.00
_cell_angle_gamma 90.00
_space_group_name_H-M_alt 'P m -3 m'
_space_group_IT_number 221
_space_group_name_Hall '-P 4 2 3'
loop_
_atom_site_label
_atom_site_type_symbol
_atom_site_fract_x
_atom_site_fract_y
_atom_site_fract_z
Ba1 Ba 0.000 0.000 0.000
N1 N 0.000 0.500 0.500
F1 F 0.500 0.500 0.500
# Crystal system   cubic
# E_form (uncorrected)   1.819 eV per atom

---

| no. | mass density (g/cm³) |
| --- | --- |
| 1 | 11.811 |
| 2 | 4.754 |